[1]
Computed, not measured: an optimized crystal structure of RbLiPmF6 at the GGA-PBE level of DFT.

Structure (extended XYZ):
```
18
Lattice="-1.8820 5.8736 4.7468 -7.1026 -2.5831 0.3802 5.6667 -4.3190 1.2106" Properties=species:S:1:pos:R:3 pbc="T T T"
Pm 1.8924 0.7773 2.9787
Pm 2.8334 -2.1595 0.6053
F -0.3958 0.9597 2.3530
F -2.9221 -1.9882 3.9846
F -1.1872 3.4296 4.3490
F 1.1162 -3.2772 1.8148
F 2.7217 -1.5081 2.9452
F -2.1307 -4.4580 1.9886
F 1.7282 1.5483 5.1499
F -6.0396 0.4796 3.3924
F 0.3249 -0.8074 3.8108
F -3.6428 -0.2211 2.5268
F -4.4341 2.2487 4.5228
F -5.0461 -2.5767 1.1878
Rb -1.3685 -1.5727 1.4035
Rb -1.9494 0.5442 4.9341
Li -4.4923 1.6453 2.5635
Li -0.9410 2.9368 2.3734
```

Calculated values
Formation energy (no corrections) in eV/atom: -3.0602
M_tot in Bohr magnetons per cell: 2.00
Electronic total energy in eV per atom: -5.1557

***

[2]
Computed, not measured: an optimized crystal structure of LiPm3S2F6 at the GGA-PBE level of DFT.

Structure (extended XYZ):
```
12
Lattice="-1.7286 -0.5786 -4.4049 -2.2980 -7.0711 1.8306 -4.8660 5.7307 0.0134" Properties=species:S:1:pos:R:3 pbc="T T T"
F -6.3579 -2.3130 -0.9011
F -6.1460 0.2067 -0.1802
F -5.1793 3.1812 -0.9502
F -3.7132 -5.1002 -1.6107
F -2.7465 -2.1257 -2.3808
F -2.5347 0.3940 -1.6598
Li -0.8643 -0.2893 -2.2025
Pm -3.2973 2.5761 -2.1958
Pm -4.4463 -0.9595 -1.2805
Pm -1.1490 -3.5356 0.9153
S -5.0945 0.7691 -3.4241
S -3.7981 -2.6882 0.8632
```

Calculated values
Formation energy (no corrections) in eV/atom: -3.1901
M_tot in Bohr magnetons per cell: 0.00
Electronic total energy in eV per atom: -6.1608